# 1
Compound: NdCd6Hg2
Source: Alexandria via LeMat-Bulk
Functional: GGA-PBE
Structure: relaxed

Properties
Formation enthalpy at 0 K ... -0.10 eV per atom
DOS(E_F) ... 0.483 states/eV/atom
DFT total energy ... -11.796 eV per cell

a = 8.993 Å, b = 8.993 Å, c = 3.204 Å
α = 100.02°, β = 100.02°, γ = 59.67°
Fractional positions:
Nd (0.000, 0.000, 0.000)
Cd (0.004, 0.345, 0.677)
Cd (0.330, 0.670, 0.500)
Cd (0.345, 0.004, 0.677)
Cd (0.655, 0.996, 0.323)
Cd (0.670, 0.330, 0.500)
Cd (0.996, 0.655, 0.323)
Hg (0.349, 0.349, 0.841)
Hg (0.651, 0.651, 0.159)

# 2
Compound: NdCd5Hg2
Source: Alexandria via LeMat-Bulk
Functional: GGA-PBE
Structure: relaxed

Properties
Formation enthalpy at 0 K ... -0.15 eV per atom
DOS(E_F) ... 0.328 states/eV/atom
DFT total energy ... -11.172 eV per cell

a = 7.299 Å, b = 7.299 Å, c = 7.299 Å
α = 147.14°, β = 107.92°, γ = 81.51°
Fractional positions:
Nd (0.000, 0.000, 0.000)
Cd (0.171, 0.364, 0.807)
Cd (0.443, 0.636, 0.807)
Cd (0.500, 0.000, 0.500)
Cd (0.557, 0.364, 0.193)
Cd (0.829, 0.636, 0.193)
Hg (0.228, 0.728, 0.500)
Hg (0.772, 0.272, 0.500)